Crystalline SrLa2O2 at its relaxed geometry, computed with GGA-PBE.

Computed properties:
Uncorrected energy (eV/atom): -6.179
Relative energy among the computed polymorphs (eV per formula unit): 0.71

Cell lengths 7.8496, 7.8496, 4.4933 Å; angles 90.00, 90.00, 90.00 degrees
With the nearest neighbours (Å) after each atom.
Space group P4/mbm (No. 127)
Inequivalent atoms, fractional coordinates:
Sr: 0.0000 0.0000 0.0000  4 O 2.81
La: 0.1704 0.3296 0.5000  2 O 2.29
O: 0.2108 0.2892 0.0000  2 La 2.29